1.
# LiSc3Ir2, relaxed, DFT PBE-GGA
data_LiSc3Ir2
_chemical_formula_sum 'Li2 Sc6 Ir4'
_symmetry_space_group_name_H-M 'P 1'
_symmetry_Int_Tables_number 1
_symmetry_space_group_name_Hall 'P 1'
_cell_length_a 3.191
_cell_length_b 4.663
_cell_length_c 14.035
_cell_angle_alpha 90.00
_cell_angle_beta 90.00
_cell_angle_gamma 90.00
loop_
_atom_site_label
_atom_site_type_symbol
_atom_site_fract_x
_atom_site_fract_y
_atom_site_fract_z
Li1 Li 0.000 0.500 0.500
Li2 Li 0.000 0.000 0.000
Sc1 Sc 0.500 0.500 0.673
Sc2 Sc 0.500 0.000 0.500
Sc3 Sc 0.500 0.500 0.327
Sc4 Sc 0.500 0.000 0.173
Sc5 Sc 0.500 0.500 0.000
Sc6 Sc 0.500 0.000 0.827
Ir1 Ir 0.000 0.000 0.663
Ir2 Ir 0.000 0.000 0.337
Ir3 Ir 0.000 0.500 0.163
Ir4 Ir 0.000 0.500 0.837
# **Energy relative to the elements**: -4.30 eV per formula unit
# **M_tot**: 0.00 μB/f.u.
# **Density of states at the Fermi level**: 6.76 states/eV per cell



2.
# Li2ScIr, relaxed, DFT PBE-GGA
data_Li2ScIr
_chemical_formula_sum 'Li2 Sc1 Ir1'
_symmetry_space_group_name_H-M 'P 1'
_symmetry_Int_Tables_number 1
_symmetry_space_group_name_Hall 'P 1'
_cell_length_a 4.660
_cell_length_b 3.754
_cell_length_c 3.754
_cell_angle_alpha 90.00
_cell_angle_beta 90.00
_cell_angle_gamma 90.00
loop_
_atom_site_label
_atom_site_type_symbol
_atom_site_fract_x
_atom_site_fract_y
_atom_site_fract_z
Ir1 Ir 0.500 0.000 0.500
Li1 Li 0.000 0.000 0.000
Li2 Li 0.000 0.500 0.500
Sc1 Sc 0.500 0.500 0.000
# **Energy relative to the elements**: -1.21 eV per formula unit
# **M_tot**: 0.00 μB/f.u.
# **Polymorph energy (0 for the lowest one)**: 60 meV/atom
# **Density of states at the Fermi level**: 2.24 states/eV per cell



3.
# LiScIr, relaxed, DFT PBE-GGA
data_LiScIr
_chemical_formula_sum 'Li1 Sc1 Ir1'
_symmetry_space_group_name_H-M 'P 1'
_symmetry_Int_Tables_number 1
_symmetry_space_group_name_Hall 'P 1'
_cell_length_a 4.279
_cell_length_b 4.279
_cell_length_c 2.980
_cell_angle_alpha 90.00
_cell_angle_beta 90.00
_cell_angle_gamma 120.00
loop_
_atom_site_label
_atom_site_type_symbol
_atom_site_fract_x
_atom_site_fract_y
_atom_site_fract_z
Ir1 Ir 0.000 0.000 0.054
Li1 Li 0.333 0.667 0.289
Sc1 Sc 0.667 0.333 0.657
# **Energy relative to the elements**: -1.45 eV per formula unit
# **M_tot**: 0.00 μB/f.u.
# **Polymorph energy (0 for the lowest one)**: 108 meV/atom
# **Density of states at the Fermi level**: 1.35 states/eV per cell



Question: What is the density of states at the Fermi level in the third record?
Answer: 1.35 states/eV per cell



Question: M_tot of number 2 (Li2ScIr)?
Answer: 0.00 μB/f.u.



Question: Among the records above, which one has the highest energy relative to the elements?
Answer: Li2ScIr



Question: density of states at the Fermi level of number 1 (LiSc3Ir2)?
Answer: 6.76 states/eV per cell